Entry 1:
Li2CoOs: relaxed, PBE.

The density of states at the Fermi level comes out at 0.53 states/eV per atom. The calculation puts the total magnetic moment at 0.00 μB per cell. The formation energy comes out at 165 meV/atom. The crystal system is tetragonal.

Geometry as CIF:
```
data_Li2CoOs
_cell_length_a 2.694
_cell_length_b 2.694
_cell_length_c 7.416
_cell_angle_alpha 90.00
_cell_angle_beta 90.00
_cell_angle_gamma 90.00
_symmetry_space_group_name_H-M 'P 4 m m'
_symmetry_Int_Tables_number 99
loop_
_symmetry_equiv_pos_as_xyz
'x,y,z'
'-y,x,z'
'-x,-y,z'
'y,-x,z'
'-x,y,z'
'y,x,z'
'x,-y,z'
'-y,-x,z'
loop_
_atom_site_label
_atom_site_type_symbol
_atom_site_fract_x
_atom_site_fract_y
_atom_site_fract_z
Li1 Li 0.000 0.000 0.000
Li2 Li 0.500 0.500 0.296
Co1 Co 0.500 0.500 0.767
Os1 Os 0.000 0.000 0.557
```

---

Entry 2:
Pm5Pr4Er2: relaxed, PBE.

The density of states at the Fermi level comes out at 1.52 states/eV per atom. The calculation puts the total magnetic moment at 0.00 μB per cell. The formation energy comes out at 95 meV/atom. The crystal system is monoclinic.

Geometry as CIF:
```
data_Pm5Pr4Er2
_cell_length_a 24.397
_cell_length_b 3.582
_cell_length_c 8.834
_cell_angle_alpha 90.00
_cell_angle_beta 94.38
_cell_angle_gamma 90.00
_symmetry_space_group_name_H-M 'C 1 2/m 1'
_symmetry_Int_Tables_number 12
loop_
_symmetry_equiv_pos_as_xyz
'x,y,z'
'-x,-y,-z'
'-x,y,-z'
'x,-y,z'
'x+1/2,y+1/2,z'
'-x+1/2,-y+1/2,-z'
'-x+1/2,y+1/2,-z'
'x+1/2,-y+1/2,z'
loop_
_atom_site_label
_atom_site_type_symbol
_atom_site_fract_x
_atom_site_fract_y
_atom_site_fract_z
Pm1 Pm 0.000 0.000 0.000
Pm2 Pm 0.130 0.500 0.045
Pm3 Pm 0.184 0.500 0.475
Pr1 Pr 0.040 0.500 0.346
Pr2 Pr 0.226 0.000 0.825
Er1 Er 0.087 0.000 0.698
```

---

Entry 3:
AlSnAs2: relaxed, PBE.

The density of states at the Fermi level comes out at 0.38 states/eV per atom. The calculation puts the total magnetic moment at 0.00 μB per cell. The formation energy comes out at 304 meV/atom. The crystal system is trigonal.

Geometry as CIF:
```
data_AlSnAs2
_cell_length_a 4.2737
_cell_length_b 4.2737
_cell_length_c 22.4407
_cell_angle_alpha 90.00
_cell_angle_beta 90.00
_cell_angle_gamma 120.00
_symmetry_space_group_name_H-M 'R -3 m'
_symmetry_Int_Tables_number 166
_symmetry_space_group_name_Hall '-R 3 2"'
loop_
_atom_site_label
_atom_site_type_symbol
_atom_site_fract_x
_atom_site_fract_y
_atom_site_fract_z
Al1 Al 0.0000 0.0000 0.0000
Sn1 Sn 0.0000 0.0000 0.5000
As1 As 0.0000 0.0000 0.1045
```

---

Entry 4:
DyCo2H7: relaxed, PBE.

The density of states at the Fermi level comes out at 0.18 states/eV per atom. The calculation puts the total magnetic moment at 0.00 μB per cell. Its energy is -89.02 eV/cell. The crystal system is orthorhombic.

Geometry as CIF:
```
data_DyCo2H7
_cell_length_a 4.969
_cell_length_b 8.120
_cell_length_c 3.444
_cell_angle_alpha 90.00
_cell_angle_beta 90.00
_cell_angle_gamma 90.00
_symmetry_space_group_name_H-M 'C m m m'
_symmetry_Int_Tables_number 65
_symmetry_space_group_name_Hall '-C 2 2'
loop_
_atom_site_label
_atom_site_type_symbol
_atom_site_fract_x
_atom_site_fract_y
_atom_site_fract_z
Dy1 Dy 0.000 0.000 0.000
Co1 Co 0.000 0.306 0.500
H1 H 0.000 0.308 0.000
H2 H 0.000 0.500 0.500
H3 H 0.187 0.141 0.500
```

---

Entry 5:
TaC2Cl: relaxed, PBE.

The density of states at the Fermi level comes out at 0.70 states/eV per atom. The calculation puts the total magnetic moment at 0.00 μB per cell. As for the raw formation energy: 1.46 eV/atom. The crystal system is tetragonal.

Geometry as CIF:
```
data_TaC2Cl
_cell_length_a 5.309
_cell_length_b 5.309
_cell_length_c 10.279
_cell_angle_alpha 90.00
_cell_angle_beta 90.00
_cell_angle_gamma 90.00
_symmetry_space_group_name_H-M 'I -4 2 d'
_symmetry_Int_Tables_number 122
_symmetry_space_group_name_Hall 'I -4 2bw'
loop_
_atom_site_label
_atom_site_type_symbol
_atom_site_fract_x
_atom_site_fract_y
_atom_site_fract_z
Ta1 Ta 0.000 0.000 0.000
C1 C 0.161 0.250 0.125
Cl1 Cl 0.000 0.000 0.500
```

---

Entry 6:
Ba5P2N: relaxed, PBE.

The density of states at the Fermi level comes out at 0.22 states/eV per atom. The calculation puts the total magnetic moment at 3.39 μB per cell. As for the raw formation energy: -0.71 eV/atom. The crystal system is orthorhombic.

Geometry as CIF:
```
data_Ba5P2N
_cell_length_a 14.609
_cell_length_b 5.212
_cell_length_c 16.413
_cell_angle_alpha 90.00
_cell_angle_beta 90.00
_cell_angle_gamma 90.00
_symmetry_space_group_name_H-M 'P n m a'
_symmetry_Int_Tables_number 62
loop_
_symmetry_equiv_pos_as_xyz
'x,y,z'
'-x,-y,-z'
'-x+1/2,-y,z+1/2'
'x+1/2,y,-z+1/2'
'x+1/2,-y+1/2,-z+1/2'
'-x+1/2,y+1/2,z+1/2'
'-x,y+1/2,-z'
'x,-y+1/2,z'
loop_
_atom_site_label
_atom_site_type_symbol
_atom_site_fract_x
_atom_site_fract_y
_atom_site_fract_z
Ba1 Ba 0.010 0.250 0.146
Ba2 Ba 0.014 0.750 0.397
Ba3 Ba 0.205 0.250 0.965
Ba4 Ba 0.240 0.750 0.777
Ba5 Ba 0.242 0.750 0.116
P1 P 0.106 0.250 0.772
P2 P 0.139 0.250 0.448
N1 N 0.183 0.250 0.131
```

---

Entry 7:
NbZn2Cd: relaxed, PBE.

The density of states at the Fermi level comes out at 0.97 states/eV per atom. The calculation puts the total magnetic moment at 0.00 μB per cell. The formation energy comes out at 422 meV/atom. The crystal system is tetragonal.

Geometry as CIF:
```
data_NbZn2Cd
_cell_length_a 7.214
_cell_length_b 7.214
_cell_length_c 5.761
_cell_angle_alpha 90.00
_cell_angle_beta 90.00
_cell_angle_gamma 90.00
_symmetry_space_group_name_H-M 'I -4 2 d'
_symmetry_Int_Tables_number 122
_symmetry_space_group_name_Hall 'I -4 2bw'
loop_
_atom_site_label
_atom_site_type_symbol
_atom_site_fract_x
_atom_site_fract_y
_atom_site_fract_z
Nb1 Nb 0.000 0.000 0.000
Zn1 Zn 0.247 0.250 0.625
Cd1 Cd 0.000 0.000 0.500
```

---

Entry 8:
AlCdNi: relaxed, PBE.

The density of states at the Fermi level comes out at 0.41 states/eV per atom. The calculation puts the total magnetic moment at 0.00 μB per cell. The formation energy comes out at -42 meV/atom. The crystal system is trigonal.

Geometry as CIF:
```
data_AlCdNi
_cell_length_a 2.9109
_cell_length_b 2.9109
_cell_length_c 6.5483
_cell_angle_alpha 90.00
_cell_angle_beta 90.00
_cell_angle_gamma 120.00
_symmetry_space_group_name_H-M 'P 3 m 1'
_symmetry_Int_Tables_number 156
loop_
_symmetry_equiv_pos_as_xyz
'x,y,z'
'-y,x-y,z'
'-x+y,-x,z'
'-y,-x,z'
'-x+y,y,z'
'x,x-y,z'
loop_
_atom_site_label
_atom_site_type_symbol
_atom_site_fract_x
_atom_site_fract_y
_atom_site_fract_z
Al1 Al 0.0000 0.0000 0.0000
Cd1 Cd 0.3333 0.6667 0.3963
Ni1 Ni 0.6667 0.3333 0.7334
```

---

Entry 9:
PrErCuSn: relaxed, PBE.

The density of states at the Fermi level comes out at 0.98 states/eV per atom. The calculation puts the total magnetic moment at 0.00 μB per cell. The formation energy comes out at -402 meV/atom. The crystal system is cubic.

Geometry as CIF:
```
data_PrErCuSn
_cell_length_a 7.405
_cell_length_b 7.405
_cell_length_c 7.405
_cell_angle_alpha 90.00
_cell_angle_beta 90.00
_cell_angle_gamma 90.00
_symmetry_space_group_name_H-M 'F -4 3 m'
_symmetry_Int_Tables_number 216
_symmetry_space_group_name_Hall 'F -4 2 3'
loop_
_atom_site_label
_atom_site_type_symbol
_atom_site_fract_x
_atom_site_fract_y
_atom_site_fract_z
Pr1 Pr 0.000 0.000 0.000
Er1 Er 0.000 0.000 0.500
Cu1 Cu 0.250 0.250 0.250
Sn1 Sn 0.250 0.250 0.750
```

---

Entry 10:
Sm2Hg2Pb: relaxed, PBE.

The density of states at the Fermi level comes out at 0.68 states/eV per atom. The calculation puts the total magnetic moment at 0.00 μB per cell. The formation energy comes out at -370 meV/atom. The crystal system is monoclinic.

Geometry as CIF:
```
data_Sm2Hg2Pb
_cell_length_a 10.238
_cell_length_b 4.652
_cell_length_c 6.305
_cell_angle_alpha 90.00
_cell_angle_beta 94.07
_cell_angle_gamma 90.00
_symmetry_space_group_name_H-M 'C 1 2/m 1'
_symmetry_Int_Tables_number 12
loop_
_symmetry_equiv_pos_as_xyz
'x,y,z'
'-x,-y,-z'
'-x,y,-z'
'x,-y,z'
'x+1/2,y+1/2,z'
'-x+1/2,-y+1/2,-z'
'-x+1/2,y+1/2,-z'
'x+1/2,-y+1/2,z'
loop_
_atom_site_label
_atom_site_type_symbol
_atom_site_fract_x
_atom_site_fract_y
_atom_site_fract_z
Sm1 Sm 0.197 0.000 0.217
Hg1 Hg 0.105 0.000 0.682
Pb1 Pb 0.000 0.500 0.000
```